[1]
# AlPF2

A geometry-optimized AlPF2 structure (PBE-GGA, Alexandria).

Output
The value obtained for the excess energy over the best structure of this formula in the dataset is 0 meV per atom. The calculation puts the calculated density at 2.5 Mg/m³. As for the density of states at the Fermi level: 0.2980 states/eV/atom. The crystal system is cubic. The value obtained for the uncorrected formation energy is -1411 meV/atom. As for the total energy: -148.3 eV per cell.

a = 8.0045 Å, b = 8.0045 Å, c = 8.0045 Å
α = 90.00°, β = 90.00°, γ = 90.00°
Last column: nearest neighbours and their distance in Å.
Space group Fd-3m (No. 227, origin choice 2)
Unique sites:
Al 0.1250 0.1250 0.1250 x8  4 F 1.73
P 0.1250 0.1250 0.6250 x8  12 F 3.32, 4 P 3.47, 4 Al 3.47
F 0.0000 0.0000 0.0000 x16  2 Al 1.73

[2]
# Al3PF

A geometry-optimized Al3PF structure (PBE-GGA, Alexandria).

Output
The value obtained for the excess energy over the best structure of this formula in the dataset is 220 meV per atom. The calculation puts the calculated density at 1.9 Mg/m³. As for the density of states at the Fermi level: 0.5399 states/eV/atom. The crystal system is cubic. The value obtained for the uncorrected formation energy is 199 meV/atom. As for the total energy: -17.5 eV per cell.

a = 4.8130 Å, b = 4.8130 Å, c = 4.8130 Å
α = 90.00°, β = 90.00°, γ = 90.00°
Last column: nearest neighbours and their distance in Å.
Space group Pm-3m (No. 221)
Unique sites:
Al 0.0000 0.0000 0.5000 x3  2 P 2.41
P 0.0000 0.0000 0.0000 x1  6 Al 2.41
F 0.5000 0.5000 0.5000 x1  12 Al 3.40

[3]
# AlP3F

A geometry-optimized AlP3F structure (PBE-GGA, Alexandria).

Output
The value obtained for the excess energy over the best structure of this formula in the dataset is 0 meV per atom. The calculation puts the calculated density at 2.4 Mg/m³. As for the density of states at the Fermi level: 0.7472 states/eV/atom. The crystal system is cubic. The value obtained for the uncorrected formation energy is 577 meV/atom. As for the total energy: -19.0 eV per cell.

a = 4.5721 Å, b = 4.5721 Å, c = 4.5721 Å
α = 90.00°, β = 90.00°, γ = 90.00°
Last column: nearest neighbours and their distance in Å.
Space group Pm-3m (No. 221)
Unique sites:
Al 0.0000 0.0000 0.0000 x1  6 P 2.29
P 0.0000 0.0000 0.5000 x3  2 Al 2.29
F 0.5000 0.5000 0.5000 x1  12 P 3.23

[4]
# AlP2F

A geometry-optimized AlP2F structure (PBE-GGA, Alexandria).

Output
The value obtained for the excess energy over the best structure of this formula in the dataset is 0 meV per atom. The calculation puts the calculated density at 3.0 Mg/m³. As for the density of states at the Fermi level: 0.1889 states/eV/atom. The crystal system is tetragonal. The value obtained for the uncorrected formation energy is -477 meV/atom. As for the total energy: -73.4 eV per cell.

a = 3.4878 Å, b = 3.4878 Å, c = 19.7591 Å
α = 90.00°, β = 90.00°, γ = 90.00°
Last column: nearest neighbours and their distance in Å.
Space group I-42d (No. 122)
Unique sites:
Al 0.0000 0.0000 0.0000 x4  4 F 2.47, 4 P 2.71
P 0.2005 0.2500 0.1250 x8  2 P 2.24
F 0.0000 0.0000 0.5000 x4  4 Al 2.47

[5]
# AlP2PbF

A geometry-optimized AlP2PbF structure (PBE-GGA, Alexandria).

Output
The calculation puts the calculated density at 4.4 Mg/m³. As for the density of states at the Fermi level: 0.6514 states/eV/atom. The crystal system is tetragonal. The value obtained for the uncorrected formation energy is 303 meV/atom. As for the total energy: -18.6 eV per cell.

a = 5.2065 Å, b = 5.2065 Å, c = 4.3900 Å
α = 90.00°, β = 90.00°, γ = 90.00°
Last column: nearest neighbours and their distance in Å.
Space group P4/mmm (No. 123)
Unique sites:
Al 0.0000 0.0000 0.0000 x1  8 P 3.41, 4 F 3.68
P 0.0000 0.5000 0.5000 x2  2 Pb 2.60
Pb 0.5000 0.5000 0.5000 x1  2 F 2.20
F 0.5000 0.5000 0.0000 x1  2 Pb 2.20

[6]
# Rb2AlPF6

A geometry-optimized Rb2AlPF6 structure (PBE-GGA, Alexandria).

Output
The calculation puts the calculated density at 3.2 Mg/m³. As for the density of states at the Fermi level: 0.0000 states/eV/atom. The crystal system is tetragonal. The value obtained for the uncorrected formation energy is -2563 meV/atom. As for the total energy: -95.9 eV per cell.

a = 6.7681 Å, b = 6.7681 Å, c = 7.7730 Å
α = 90.00°, β = 90.00°, γ = 90.00°
Last column: nearest neighbours and their distance in Å.
Space group I4/mmm (No. 139)
Unique sites:
Rb 0.0000 0.5000 0.2500 x4  12 F 3.14-3.38
Al 0.0000 0.0000 0.0000 x2  6 F 1.80-1.94
P 0.0000 0.0000 0.5000 x2  2 F 1.94
F 0.0000 0.0000 0.2500 x4  1 P 1.94, 1 Al 1.94
F 0.1876 0.1876 0.0000 x8  1 Al 1.80

[7]
# SrAl2PF

A geometry-optimized SrAl2PF structure (PBE-GGA, Alexandria).

Output
The calculation puts the calculated density at 2.5 Mg/m³. As for the density of states at the Fermi level: 0.4665 states/eV/atom. The crystal system is tetragonal. The value obtained for the uncorrected formation energy is -480 meV/atom. As for the total energy: -18.8 eV per cell.

a = 4.5574 Å, b = 4.5574 Å, c = 6.2072 Å
α = 90.00°, β = 90.00°, γ = 90.00°
Last column: nearest neighbours and their distance in Å.
Space group P4/mmm (No. 123)
Unique sites:
Sr 0.0000 0.0000 0.0000 x1  4 F 3.22
Al 0.0000 0.5000 0.5000 x2  2 P 2.28
P 0.5000 0.5000 0.5000 x1  4 Al 2.28
F 0.5000 0.5000 0.0000 x1  2 P 3.10, 4 Sr 3.22

[8]
# Ta2AlPF

A geometry-optimized Ta2AlPF structure (PBE-GGA, Alexandria).

Output
The calculation puts the calculated density at 9.0 Mg/m³. As for the density of states at the Fermi level: 0.9905 states/eV/atom. The crystal system is tetragonal. The value obtained for the uncorrected formation energy is 171 meV/atom. As for the total energy: -33.9 eV per cell.

a = 4.1470 Å, b = 4.1470 Å, c = 4.7338 Å
α = 90.00°, β = 90.00°, γ = 90.00°
Last column: nearest neighbours and their distance in Å.
Space group P4/mmm (No. 123)
Unique sites:
Ta 0.0000 0.5000 0.0000 x2  2 F 2.07
Al 0.0000 0.0000 0.5000 x1  4 P 2.93, 8 Ta 3.15
P 0.5000 0.5000 0.5000 x1  2 F 2.37
F 0.5000 0.5000 0.0000 x1  4 Ta 2.07

[9]
# AlTcPF2

A geometry-optimized AlTcPF2 structure (PBE-GGA, Alexandria).

Output
The calculation puts the calculated density at 4.3 Mg/m³. As for the density of states at the Fermi level: 0.4123 states/eV/atom. The crystal system is tetragonal. The value obtained for the uncorrected formation energy is -490 meV/atom. As for the total energy: -25.7 eV per cell.

a = 3.7926 Å, b = 3.7926 Å, c = 5.1510 Å
α = 90.00°, β = 90.00°, γ = 90.00°
Last column: nearest neighbours and their distance in Å.
Space group P4/mmm (No. 123)
Unique sites:
Al 0.0000 0.0000 0.0000 x1  4 Tc 2.68
Tc 0.5000 0.5000 0.0000 x1  2 P 2.58, 4 Al 2.68
P 0.5000 0.5000 0.5000 x1  4 F 1.90
F 0.0000 0.5000 0.5000 x2  2 P 1.90

[10]
# AlZnPF2

A geometry-optimized AlZnPF2 structure (PBE-GGA, Alexandria).

Output
The calculation puts the calculated density at 3.5 Mg/m³. As for the density of states at the Fermi level: 0.3026 states/eV/atom. The crystal system is tetragonal. The value obtained for the uncorrected formation energy is -1371 meV/atom. As for the total energy: -21.0 eV per cell.

a = 3.5517 Å, b = 3.5517 Å, c = 5.9991 Å
α = 90.00°, β = 90.00°, γ = 90.00°
Last column: nearest neighbours and their distance in Å.
Space group P4/mmm (No. 123)
Unique sites:
Al 0.0000 0.0000 0.0000 x1  4 F 1.78
Zn 0.0000 0.0000 0.5000 x1  4 P 2.51
P 0.5000 0.5000 0.5000 x1  4 Zn 2.51
F 0.0000 0.5000 0.0000 x2  2 Al 1.78

[11]
# PaAlF4

A geometry-optimized PaAlF4 structure (PBE-GGA, Alexandria).

Output
The calculation puts the calculated density at 4.4 Mg/m³. As for the density of states at the Fermi level: 0.6829 states/eV/atom. The crystal system is tetragonal. The value obtained for the uncorrected formation energy is -2481 meV/atom. As for the total energy: -71.2 eV per cell.

a = 5.0151 Å, b = 5.0151 Å, c = 10.0186 Å
α = 90.00°, β = 90.00°, γ = 90.00°
Last column: nearest neighbours and their distance in Å.
Space group I-4 (No. 82)
Unique sites:
Pa 0.0000 0.0000 0.0000 x2  4 F 2.13
Al 0.0000 0.5000 0.2500 x2  4 F 2.55
F 0.1976 0.2996 0.6113 x8  1 Pa 2.13